No. 1
Compound: HfSiMoPb2
Source: Alexandria
Functional: PBE
Structure: relaxed

a = 5.348 Å, b = 4.963 Å, c = 5.348 Å
α = 90.00°, β = 90.00°, γ = 90.00°
Fractional coordinates of all 5 atoms:
Pb 0.000 0.000 0.500
Si 0.500 0.500 0.500
Pb 0.500 0.000 0.000
Mo 0.000 0.000 0.000
Hf 0.000 0.500 0.000

## Properties
* volume: 142.0 Å³ per cell
* symmetry: P4/mmm, No. 123
* crystal system: tetragonal
* calculated density: 8.39 g/cm³
* ΔE_f (raw): 0.970 eV/atom
* energy: -5.75 eV/atom
* spin magnetization: 0.79 μB per formula unit



No. 2
Compound: Sm5Tc2O12
Source: Alexandria
Functional: PBE
Structure: relaxed

a = 5.750 Å, b = 6.986 Å, c = 7.725 Å
α = 106.27°, β = 90.00°, γ = 114.30°
Fractional coordinates of all 19 atoms:
O 0.591 0.678 0.920
Sm 0.306 0.613 0.644
O 0.087 0.678 0.920
Tc 0.213 0.000 0.000
Sm 0.000 0.000 0.500
Sm 0.694 0.387 0.356
O 0.593 0.690 0.424
Sm 0.685 0.370 0.828
O 0.097 0.690 0.424
Tc 0.787 0.000 0.000
Sm 0.315 0.630 0.172
O 0.913 0.322 0.080
O 0.409 0.322 0.080
O 0.407 0.310 0.576
O 0.499 0.997 0.828
O 0.903 0.310 0.576
O 0.000 0.999 0.800
O 0.000 0.001 0.200
O 0.501 0.003 0.172

## Properties
* volume: 269.1 Å³ per cell
* symmetry: C2/m, No. 12
* crystal system: monoclinic
* calculated density: 7.03 g/cm³
* ΔE_f (raw): -2.816 eV/atom
* energy: -8.28 eV/atom
* spin magnetization: 1.07 μB per formula unit



No. 3
Compound: Ac2NdEr3
Source: Alexandria
Functional: PBE
Structure: relaxed

a = 7.541 Å, b = 8.971 Å, c = 7.451 Å
α = 101.97°, β = 90.00°, γ = 114.86°
Fractional coordinates of all 12 atoms:
Er 0.715 0.000 0.750
Nd 0.711 0.000 0.250
Nd 0.289 0.000 0.750
Er 0.883 0.769 0.442
Er 0.886 0.769 0.942
Er 0.114 0.231 0.058
Er 0.285 0.000 0.250
Er 0.117 0.231 0.558
Ac 0.313 0.634 0.408
Ac 0.679 0.366 0.092
Ac 0.321 0.634 0.908
Ac 0.687 0.366 0.592

## Properties
* volume: 445.3 Å³ per cell
* symmetry: C2/c, No. 15
* crystal system: monoclinic
* calculated density: 8.20 g/cm³
* energy: -4.30 eV/atom
* E_form: 0.14 eV per atom
* spin magnetization: 0.00 μB per formula unit



No. 4
Compound: Li2CrCu
Source: Alexandria
Functional: PBE
Structure: relaxed

a = 2.441 Å, b = 2.441 Å, c = 9.095 Å
α = 90.00°, β = 90.00°, γ = 104.66°
Fractional coordinates of all 4 atoms:
Cr 0.000 0.000 0.514
Cu 0.500 0.500 0.744
Li 0.000 0.000 0.979
Li 0.500 0.500 0.263

## Properties
* volume: 52.4 Å³ per cell
* symmetry: Cmm2, No. 35
* crystal system: orthorhombic
* calculated density: 4.10 g/cm³
* energy: -4.11 eV/atom
* E_form: 0.27 eV per atom
* spin magnetization: 0.17 μB per formula unit
* ΔE to the lowest computed polymorph: 9 meV/atom



Which value of energy does entry 2 give?
-8.28 eV/atom



Number 3 is which compound?
Ac2NdEr3



Please write out number 1 again, unchanged.
Compound: HfSiMoPb2
Source: Alexandria
Functional: PBE
Structure: relaxed

a = 5.348 Å, b = 4.963 Å, c = 5.348 Å
α = 90.00°, β = 90.00°, γ = 90.00°
Fractional coordinates of all 5 atoms:
Pb 0.000 0.000 0.500
Si 0.500 0.500 0.500
Pb 0.500 0.000 0.000
Mo 0.000 0.000 0.000
Hf 0.000 0.500 0.000

## Properties
* volume: 142.0 Å³ per cell
* symmetry: P4/mmm, No. 123
* crystal system: tetragonal
* calculated density: 8.39 g/cm³
* ΔE_f (raw): 0.970 eV/atom
* energy: -5.75 eV/atom
* spin magnetization: 0.79 μB per formula unit